# Zn2CdAu (PBEsol, optimized geometry)
# E_form   -0.32 eV per formula unit
# DFT total energy   -2.151 eV per atom
# Relative energy among the computed polymorphs   6 meV/atom
data_Zn2CdAu
_symmetry_space_group_name_H-M 'I 4/m m m'
_symmetry_Int_Tables_number 139
_symmetry_space_group_name_Hall '-I 4 2'
_cell_length_a 4.120
_cell_length_b 4.120
_cell_length_c 7.563
_cell_angle_alpha 90.00
_cell_angle_beta 90.00
_cell_angle_gamma 90.00
loop_
_atom_site_label
_atom_site_fract_x
_atom_site_fract_y
_atom_site_fract_z
Zn1 0.000 0.500 0.250
Cd1 0.000 0.000 0.000
Au1 0.000 0.000 0.500



# MgBi2Sb (PBEsol, optimized geometry)
# Raw formation energy   185 meV per atom
# DFT total energy   -3.527 eV per atom
data_MgBi2Sb
_symmetry_space_group_name_H-M 'I -4 2 d'
_symmetry_Int_Tables_number 122
_symmetry_space_group_name_Hall 'I -4 2bw'
_cell_length_a 6.658
_cell_length_b 6.658
_cell_length_c 14.030
_cell_angle_alpha 90.00
_cell_angle_beta 90.00
_cell_angle_gamma 90.00
loop_
_atom_site_label
_atom_site_fract_x
_atom_site_fract_y
_atom_site_fract_z
Mg1 0.000 0.000 0.000
Bi1 0.237 0.250 0.125
Sb1 0.000 0.000 0.500